The following is a PBE calculation of an optimized crystal structure of FeCo3H, from Alexandria via LeMat-Bulk.

The structure in POSCAR format:
```
FeCo3H
1.0
-2.3476 3.4246 -1.1455
-1.2532 -2.0540 -3.5724
-3.3867 -1.6139 2.1160
H Co Fe
1 3 1
Direct
0.5000 0.5000 0.5000 H
0.0000 0.5000 0.0000 Co
0.0000 0.0000 0.5000 Co
0.5000 0.0000 0.0000 Co
0.0000 0.0000 0.0000 Fe
```

Output
energy above the most stable polymorph in this dataset	1.7127	eV per atom
total DFT energy (no corrections)	-0.180	hartree per atom
mass density	4.9	g/cm³
crystal system	cubic



The following is a PBE calculation of an optimized crystal structure of FeCoH, from Alexandria via LeMat-Bulk.

The structure in POSCAR format:
```
FeCoH
1.0
-0.2342 0.1250 -2.5078
4.2002 -1.0841 -0.4457
-0.4629 -4.1404 -1.4301
H Co Fe
2 2 2
Direct
0.6763 0.4809 0.7114 H
0.1763 0.9805 0.7114 H
0.3114 0.3589 0.4416 Co
0.8114 0.8590 0.4416 Co
0.5463 0.1035 0.9717 Fe
0.0463 0.6035 0.9717 Fe
```

Output
energy above the most stable polymorph in this dataset	0.1336	eV per atom
total DFT energy (no corrections)	-0.227	hartree per atom
mass density	8.4	g/cm³
crystal system	trigonal



The following is a PBE calculation of an optimized crystal structure of FeCoH, from Alexandria via LeMat-Bulk.

The structure in POSCAR format:
```
FeCoH
1.0
2.5831 0.0007 0.0048
1.2905 2.2242 0.2428
-0.0094 -0.4774 4.3833
Fe Co H
1 1 1
Direct
0.3031 0.3450 0.4339 Fe
0.6363 0.6774 0.9819 Co
0.3030 0.3436 0.8178 H
```

Output
energy above the most stable polymorph in this dataset	0.1140	eV per atom
total DFT energy (no corrections)	-0.228	hartree per atom
mass density	7.5	g/cm³
crystal system	trigonal



The following is a PBE calculation of an optimized crystal structure of FeCoH4, from Alexandria via LeMat-Bulk.

The structure in POSCAR format:
```
FeCoH4
1.0
-1.2649 2.5321 -0.3987
-0.9015 -0.0232 2.7124
3.3750 1.8651 1.1377
Fe Co H
1 1 4
Direct
0.0000 0.0000 0.5000 Fe
0.5000 0.5000 0.0000 Co
0.5000 0.0000 0.2393 H
0.5000 0.0000 0.7607 H
0.0000 0.5000 0.7607 H
0.0000 0.5000 0.2393 H
```

Output
total DFT energy (no corrections)	-0.174	hartree per atom
mass density	6.0	g/cm³
crystal system	tetragonal



The following is a PBE calculation of an optimized crystal structure of Fe2CoH, from Alexandria via LeMat-Bulk.

The structure in POSCAR format:
```
Fe2CoH
1.0
-0.8237 -3.5963 4.1110
4.1114 -3.1453 -1.9277
3.1100 -2.2403 2.3743
H Co Fe
2 2 4
Direct
0.5000 0.5000 0.0000 H
0.2500 0.7500 0.5000 H
0.0000 0.0000 0.0000 Co
0.7500 0.2500 0.5000 Co
0.5288 0.1250 0.2500 Fe
0.2212 0.6250 0.2500 Fe
0.3750 0.4712 0.7500 Fe
0.8750 0.7788 0.7500 Fe
```

Output
energy above the most stable polymorph in this dataset	0.3561	eV per atom
total DFT energy (no corrections)	-0.238	hartree per atom
mass density	8.3	g/cm³
crystal system	tetragonal



The following is a PBE calculation of an optimized crystal structure of FeCoH, from Alexandria via LeMat-Bulk.

The structure in POSCAR format:
```
FeCoH
1.0
-1.9763 -1.4018 -0.9050
2.8272 -3.2505 -1.1391
0.4023 -2.7837 3.4335
H Co Fe
2 2 2
Direct
0.3031 0.4392 0.0190 H
0.8031 0.4392 0.5190 H
0.8031 0.6910 0.7700 Co
0.8031 0.1876 0.2679 Co
0.3031 0.1690 0.7669 Fe
0.3031 0.7097 0.2708 Fe
```

Output
energy above the most stable polymorph in this dataset	0.0124	eV per atom
total DFT energy (no corrections)	-0.232	hartree per atom
mass density	7.9	g/cm³
crystal system	monoclinic



Here are the calculated magnetization numbers, same order: 8.10 1.42 3.58 2.36 0.00 7.32 (μB/cell).